MnAlMoIrF: optimized geometry, PBE+U.

a b c (Å): 5.2931 5.2931 6.6517
angles (deg): 119.82 119.82 33.23
Fractional positions:
1 Mn 0.0000 0.0000 0.0000
2 Al 0.2269 0.2269 0.7026
3 Mo 0.3803 0.3803 0.2829
4 Ir 0.6881 0.6881 0.3796
5 F 0.0764 0.0764 0.7645

Results
E   -30.58 eV/cell
Mass density   7.40 g cm⁻³
Energy above the most stable polymorph in this dataset   152 meV per atom